--- w ---
# Tb2PrEr7, relaxed, DFT PBE
data_Tb2PrEr7
_chemical_formula_sum 'Tb4 Pr2 Er14'
_cell_length_a 8.664
_cell_length_b 16.170
_cell_length_c 5.552
_cell_angle_alpha 90.00
_cell_angle_beta 90.00
_cell_angle_gamma 90.00
_symmetry_space_group_name_H-M 'C m m m'
_symmetry_Int_Tables_number 65
_symmetry_space_group_name_Hall '-C 2 2'
loop_
_atom_site_label
_atom_site_fract_x
_atom_site_fract_y
_atom_site_fract_z
Tb1 0.000 0.203 0.000
Pr1 0.000 0.500 0.500
Er1 0.000 0.000 0.000
Er2 0.000 0.286 0.500
Er3 0.176 0.385 0.000
# V ... 777.80 Å³/cell
# M_tot ... 0.00 Bohr magnetons per cell

---

--- x ---
# Tb2PrEr7, relaxed, DFT PBE
data_Tb2PrEr7
_chemical_formula_sum 'Tb2 Pr1 Er7'
_cell_length_a 6.124
_cell_length_b 7.071
_cell_length_c 7.903
_cell_angle_alpha 77.08
_cell_angle_beta 75.09
_cell_angle_gamma 73.18
_symmetry_space_group_name_H-M 'P -1'
_symmetry_Int_Tables_number 2
loop_
_symmetry_equiv_pos_as_xyz
'x,y,z'
'-x,-y,-z'
loop_
_atom_site_label
_atom_site_fract_x
_atom_site_fract_y
_atom_site_fract_z
Tb1 0.200 0.301 0.099
Pr1 0.000 0.000 0.500
Er1 0.000 0.500 0.500
Er2 0.201 0.799 0.099
Er3 0.400 0.100 0.701
Er4 0.401 0.599 0.701
# V ... 312.42 Å³/cell
# M_tot ... 0.00 Bohr magnetons per cell

---

Of them, x has the highest stability.

---

--- w ---
# TbPr5Er2, relaxed, DFT PBE
data_TbPr5Er2
_chemical_formula_sum 'Tb4 Pr20 Er8'
_cell_length_a 14.715
_cell_length_b 12.199
_cell_length_c 6.746
_cell_angle_alpha 90.00
_cell_angle_beta 113.87
_cell_angle_gamma 90.00
_symmetry_space_group_name_H-M 'C 1 2/c 1'
_symmetry_Int_Tables_number 15
loop_
_symmetry_equiv_pos_as_xyz
'x,y,z'
'-x,-y,-z'
'-x,y,-z+1/2'
'x,-y,z+1/2'
'x+1/2,y+1/2,z'
'-x+1/2,-y+1/2,-z'
'-x+1/2,y+1/2,-z+1/2'
'x+1/2,-y+1/2,z+1/2'
loop_
_atom_site_label
_atom_site_fract_x
_atom_site_fract_y
_atom_site_fract_z
Tb1 0.000 0.007 0.250
Pr1 0.000 0.262 0.750
Pr2 0.126 0.259 0.383
Pr3 0.239 0.013 0.710
Er1 0.000 0.500 0.000
Er2 0.250 0.250 0.000
# V ... 1107.38 Å³/cell
# M_tot ... 0.00 Bohr magnetons per cell

---

--- x ---
# TbPr5Er2, relaxed, DFT PBE
data_TbPr5Er2
_chemical_formula_sum 'Tb4 Pr20 Er8'
_cell_length_a 9.311
_cell_length_b 9.311
_cell_length_c 12.767
_cell_angle_alpha 90.00
_cell_angle_beta 90.00
_cell_angle_gamma 90.00
_symmetry_space_group_name_H-M 'I 4/m c m'
_symmetry_Int_Tables_number 140
_symmetry_space_group_name_Hall '-I 4 2c'
loop_
_atom_site_label
_atom_site_fract_x
_atom_site_fract_y
_atom_site_fract_z
Tb1 0.000 0.000 0.250
Pr1 0.000 0.000 0.000
Pr2 0.150 0.350 0.164
Er1 0.146 0.354 0.500
# V ... 1106.73 Å³/cell
# M_tot ... 1.37 Bohr magnetons per cell

---

Of them, x has the highest stability.

---

--- w ---
# Tb5Pr2Er3, relaxed, DFT PBE
data_Tb5Pr2Er3
_chemical_formula_sum 'Tb20 Pr8 Er12'
_cell_length_a 9.404
_cell_length_b 21.727
_cell_length_c 6.804
_cell_angle_alpha 90.00
_cell_angle_beta 90.00
_cell_angle_gamma 90.00
_symmetry_space_group_name_H-M 'I b a m'
_symmetry_Int_Tables_number 72
_symmetry_space_group_name_Hall '-I 2 2c'
loop_
_atom_site_label
_atom_site_fract_x
_atom_site_fract_y
_atom_site_fract_z
Tb1 0.000 0.000 0.250
Tb2 0.000 0.249 0.250
Tb3 0.089 0.125 0.000
Pr1 0.104 0.375 0.500
Er1 0.000 0.500 0.250
Er2 0.250 0.123 0.500
# V ... 1390.22 Å³/cell
# M_tot ... 0.03 Bohr magnetons per cell

---

--- x ---
# Tb5Pr2Er3, relaxed, DFT PBE
data_Tb5Pr2Er3
_chemical_formula_sum 'Tb20 Pr8 Er12'
_cell_length_a 10.672
_cell_length_b 16.028
_cell_length_c 9.400
_cell_angle_alpha 90.00
_cell_angle_beta 124.27
_cell_angle_gamma 90.00
_symmetry_space_group_name_H-M 'C 1 2/c 1'
_symmetry_Int_Tables_number 15
loop_
_symmetry_equiv_pos_as_xyz
'x,y,z'
'-x,-y,-z'
'-x,y,-z+1/2'
'x,-y,z+1/2'
'x+1/2,y+1/2,z'
'-x+1/2,-y+1/2,-z'
'-x+1/2,y+1/2,-z+1/2'
'x+1/2,-y+1/2,z+1/2'
loop_
_atom_site_label
_atom_site_fract_x
_atom_site_fract_y
_atom_site_fract_z
Tb1 0.000 0.029 0.250
Tb2 0.000 0.226 0.250
Tb3 0.000 0.268 0.750
Tb4 0.229 0.117 0.715
Pr1 0.140 0.373 0.547
Er1 0.000 0.476 0.750
Er2 0.159 0.120 0.048
# V ... 1328.71 Å³/cell
# M_tot ... 0.00 Bohr magnetons per cell

---

Of them, x has the highest stability.

---

--- w ---
# Tb3Pr2Er, relaxed, DFT PBE
data_Tb3Pr2Er
_chemical_formula_sum 'Tb6 Pr4 Er2'
_cell_length_a 7.098
_cell_length_b 9.827
_cell_length_c 5.674
_cell_angle_alpha 90.00
_cell_angle_beta 90.00
_cell_angle_gamma 90.00
_symmetry_space_group_name_H-M 'P n n m'
_symmetry_Int_Tables_number 58
loop_
_symmetry_equiv_pos_as_xyz
'x,y,z'
'-x,-y,-z'
'-x,-y,z'
'x,y,-z'
'x+1/2,-y+1/2,-z+1/2'
'-x+1/2,y+1/2,z+1/2'
'-x+1/2,y+1/2,-z+1/2'
'x+1/2,-y+1/2,z+1/2'
loop_
_atom_site_label
_atom_site_fract_x
_atom_site_fract_y
_atom_site_fract_z
Tb1 0.000 0.000 0.000
Tb2 0.250 0.167 0.500
Pr1 0.249 0.333 0.000
Er1 0.000 0.500 0.500
# V ... 395.78 Å³/cell
# M_tot ... 0.00 Bohr magnetons per cell

---

--- x ---
# Tb3Pr2Er, relaxed, DFT PBE
data_Tb3Pr2Er
_chemical_formula_sum 'Tb12 Pr8 Er4'
_cell_length_a 19.635
_cell_length_b 5.138
_cell_length_c 8.245
_cell_angle_alpha 90.00
_cell_angle_beta 91.33
_cell_angle_gamma 90.00
_symmetry_space_group_name_H-M 'C 1 2/m 1'
_symmetry_Int_Tables_number 12
loop_
_symmetry_equiv_pos_as_xyz
'x,y,z'
'-x,-y,-z'
'-x,y,-z'
'x,-y,z'
'x+1/2,y+1/2,z'
'-x+1/2,-y+1/2,-z'
'-x+1/2,y+1/2,-z'
'x+1/2,-y+1/2,z'
loop_
_atom_site_label
_atom_site_fract_x
_atom_site_fract_y
_atom_site_fract_z
Tb1 0.073 0.000 0.128
Tb2 0.192 0.500 0.053
Tb3 0.234 0.000 0.351
Pr1 0.102 0.500 0.433
Pr2 0.147 0.000 0.736
Er1 0.044 0.500 0.844
# V ... 831.59 Å³/cell
# M_tot ... 0.00 Bohr magnetons per cell

---

Of them, w has the highest stability.

---

--- w ---
# TbPr4Er7, relaxed, DFT PBE
data_TbPr4Er7
_chemical_formula_sum 'Tb1 Pr4 Er7'
_cell_length_a 6.586
_cell_length_b 6.857
_cell_length_c 9.062
_cell_angle_alpha 84.24
_cell_angle_beta 77.24
_cell_angle_gamma 81.17
_symmetry_space_group_name_H-M 'P -1'
_symmetry_Int_Tables_number 2
loop_
_symmetry_equiv_pos_as_xyz
'x,y,z'
'-x,-y,-z'
loop_
_atom_site_label
_atom_site_fract_x
_atom_site_fract_y
_atom_site_fract_z
Tb1 0.000 0.000 0.000
Pr1 0.168 0.614 0.307
Pr2 0.360 0.191 0.713
Er1 0.000 0.500 0.000
Er2 0.185 0.105 0.380
Er3 0.320 0.701 0.644
Er4 0.489 0.247 0.048
# V ... 393.48 Å³/cell
# M_tot ... 0.00 Bohr magnetons per cell

---

--- x ---
# TbPr4Er7, relaxed, DFT PBE
data_TbPr4Er7
_chemical_formula_sum 'Tb2 Pr8 Er14'
_cell_length_a 12.131
_cell_length_b 5.898
_cell_length_c 12.843
_cell_angle_alpha 90.00
_cell_angle_beta 118.02
_cell_angle_gamma 90.00
_symmetry_space_group_name_H-M 'C 1 2/m 1'
_symmetry_Int_Tables_number 12
loop_
_symmetry_equiv_pos_as_xyz
'x,y,z'
'-x,-y,-z'
'-x,y,-z'
'x,-y,z'
'x+1/2,y+1/2,z'
'-x+1/2,-y+1/2,-z'
'-x+1/2,y+1/2,-z'
'x+1/2,-y+1/2,z'
loop_
_atom_site_label
_atom_site_fract_x
_atom_site_fract_y
_atom_site_fract_z
Tb1 0.000 0.000 0.000
Pr1 0.139 0.500 0.778
Pr2 0.216 0.000 0.661
Er1 0.000 0.500 0.000
Er2 0.071 0.000 0.307
Er3 0.132 0.500 0.493
Er4 0.212 0.000 0.924
# V ... 811.14 Å³/cell
# M_tot ... 0.00 Bohr magnetons per cell

---

Of them, w has the highest stability.

---

--- w ---
# Tb7PrEr2, relaxed, DFT PBE
data_Tb7PrEr2
_chemical_formula_sum 'Tb14 Pr2 Er4'
_cell_length_a 8.785
_cell_length_b 15.948
_cell_length_c 5.669
_cell_angle_alpha 90.00
_cell_angle_beta 90.00
_cell_angle_gamma 90.00
_symmetry_space_group_name_H-M 'C m m m'
_symmetry_Int_Tables_number 65
_symmetry_space_group_name_Hall '-C 2 2'
loop_
_atom_site_label
_atom_site_fract_x
_atom_site_fract_y
_atom_site_fract_z
Tb1 0.000 0.000 0.000
Tb2 0.000 0.278 0.500
Tb3 0.177 0.383 0.000
Pr1 0.000 0.500 0.500
Er1 0.000 0.204 0.000
# V ... 794.27 Å³/cell
# M_tot ... 0.00 Bohr magnetons per cell

---

--- x ---
# Tb7PrEr2, relaxed, DFT PBE
data_Tb7PrEr2
_chemical_formula_sum 'Tb7 Pr1 Er2'
_cell_length_a 6.169
_cell_length_b 6.171
_cell_length_c 9.432
_cell_angle_alpha 109.03
_cell_angle_beta 102.60
_cell_angle_gamma 99.65
_symmetry_space_group_name_H-M 'P -1'
_symmetry_Int_Tables_number 2
loop_
_symmetry_equiv_pos_as_xyz
'x,y,z'
'-x,-y,-z'
loop_
_atom_site_label
_atom_site_fract_x
_atom_site_fract_y
_atom_site_fract_z
Tb1 0.000 0.000 0.000
Tb2 0.102 0.202 0.702
Tb3 0.198 0.399 0.399
Tb4 0.300 0.601 0.099
Pr1 0.500 0.000 0.500
Er1 0.401 0.799 0.802
# V ... 320.00 Å³/cell
# M_tot ... 0.00 Bohr magnetons per cell

---

Of them, x has the highest stability.

---

--- w ---
# TbPr7Er12, relaxed, DFT PBE
data_TbPr7Er12
_chemical_formula_sum 'Tb2 Pr14 Er24'
_cell_length_a 11.287
_cell_length_b 11.287
_cell_length_c 11.287
_cell_angle_alpha 90.00
_cell_angle_beta 90.00
_cell_angle_gamma 90.00
_symmetry_space_group_name_H-M 'I m -3 m'
_symmetry_Int_Tables_number 229
_symmetry_space_group_name_Hall '-I 4 2 3'
loop_
_atom_site_label
_atom_site_fract_x
_atom_site_fract_y
_atom_site_fract_z
Tb1 0.000 0.000 0.000
Pr1 0.000 0.000 0.500
Pr2 0.250 0.250 0.250
Er1 0.000 0.247 0.247
# V ... 1438.02 Å³/cell
# M_tot ... 0.00 Bohr magnetons per cell

---

--- x ---
# TbPr7Er12, relaxed, DFT PBE
data_TbPr7Er12
_chemical_formula_sum 'Tb3 Pr21 Er36'
_cell_length_a 11.9794
_cell_length_b 11.9794
_cell_length_c 16.2633
_cell_angle_alpha 90.00
_cell_angle_beta 90.00
_cell_angle_gamma 120.00
_symmetry_space_group_name_H-M 'R -3'
_symmetry_Int_Tables_number 148
_symmetry_space_group_name_Hall '-R 3'
loop_
_atom_site_label
_atom_site_fract_x
_atom_site_fract_y
_atom_site_fract_z
Tb1 0.0000 0.0000 0.0000
Pr1 0.0000 0.0000 0.5000
Pr2 0.0550 0.8685 0.7880
Er1 0.0257 0.5774 0.7215
Er2 0.0527 0.4667 0.0830
# V ... 2021.20 Å³/cell
# M_tot ... 0.00 Bohr magnetons per cell

---

Of them, x has the highest stability.

---

--- w ---
# Tb3PrEr5, relaxed, DFT PBE
data_Tb3PrEr5
_chemical_formula_sum 'Tb12 Pr4 Er20'
_cell_length_a 16.788
_cell_length_b 7.953
_cell_length_c 12.212
_cell_angle_alpha 90.00
_cell_angle_beta 130.71
_cell_angle_gamma 90.00
_symmetry_space_group_name_H-M 'C 1 2/m 1'
_symmetry_Int_Tables_number 12
loop_
_symmetry_equiv_pos_as_xyz
'x,y,z'
'-x,-y,-z'
'-x,y,-z'
'x,-y,z'
'x+1/2,y+1/2,z'
'-x+1/2,-y+1/2,-z'
'-x+1/2,y+1/2,-z'
'x+1/2,-y+1/2,z'
loop_
_atom_site_label
_atom_site_fract_x
_atom_site_fract_y
_atom_site_fract_z
Tb1 0.000 0.000 0.000
Tb2 0.000 0.500 0.500
Tb3 0.119 0.000 0.813
Tb4 0.174 0.500 0.842
Pr1 0.237 0.500 0.632
Er1 0.000 0.179 0.500
Er2 0.065 0.295 0.281
Er3 0.122 0.500 0.066
Er4 0.201 0.000 0.571
# V ... 1235.93 Å³/cell
# M_tot ... 0.00 Bohr magnetons per cell

---

--- x ---
# Tb3PrEr5, relaxed, DFT PBE
data_Tb3PrEr5
_chemical_formula_sum 'Tb12 Pr4 Er20'
_cell_length_a 19.171
_cell_length_b 5.998
_cell_length_c 11.302
_cell_angle_alpha 90.00
_cell_angle_beta 113.69
_cell_angle_gamma 90.00
_symmetry_space_group_name_H-M 'C 1 2/c 1'
_symmetry_Int_Tables_number 15
loop_
_symmetry_equiv_pos_as_xyz
'x,y,z'
'-x,-y,-z'
'-x,y,-z+1/2'
'x,-y,z+1/2'
'x+1/2,y+1/2,z'
'-x+1/2,-y+1/2,-z'
'-x+1/2,y+1/2,-z+1/2'
'x+1/2,-y+1/2,z+1/2'
loop_
_atom_site_label
_atom_site_fract_x
_atom_site_fract_y
_atom_site_fract_z
Tb1 0.000 0.000 0.000
Tb2 0.179 0.235 0.362
Pr1 0.000 0.101 0.250
Er1 0.000 0.406 0.750
Er2 0.162 0.258 0.694
Er3 0.171 0.251 0.030
# V ... 1190.09 Å³/cell
# M_tot ... 0.00 Bohr magnetons per cell

---

Of them, x has the highest stability.

---

--- w ---
# Tb3PrEr6, relaxed, DFT PBE
data_Tb3PrEr6
_chemical_formula_sum 'Tb12 Pr4 Er24'
_cell_length_a 9.419
_cell_length_b 15.256
_cell_length_c 8.901
_cell_angle_alpha 90.00
_cell_angle_beta 90.00
_cell_angle_gamma 90.00
_symmetry_space_group_name_H-M 'C m c 21'
_symmetry_Int_Tables_number 36
loop_
_symmetry_equiv_pos_as_xyz
'x,y,z'
'-x,-y,z+1/2'
'-x,y,z'
'x,-y,z+1/2'
'x+1/2,y+1/2,z'
'-x+1/2,-y+1/2,z+1/2'
'-x+1/2,y+1/2,z'
'x+1/2,-y+1/2,z+1/2'
loop_
_atom_site_label
_atom_site_fract_x
_atom_site_fract_y
_atom_site_fract_z
Tb1 0.000 0.053 0.000
Tb2 0.250 0.059 0.318
Pr1 0.000 0.225 0.232
Er1 0.000 0.285 0.864
Er2 0.000 0.451 0.130
Er3 0.174 0.143 0.646
Er4 0.177 0.351 0.488
# V ... 1279.07 Å³/cell
# M_tot ... 0.00 Bohr magnetons per cell

---

--- x ---
# Tb3PrEr6, relaxed, DFT PBE
data_Tb3PrEr6
_chemical_formula_sum 'Tb9 Pr3 Er18'
_cell_length_a 9.8049
_cell_length_b 9.8049
_cell_length_c 11.5874
_cell_angle_alpha 90.00
_cell_angle_beta 90.00
_cell_angle_gamma 120.00
_symmetry_space_group_name_H-M 'R 3 2'
_symmetry_Int_Tables_number 155
_symmetry_space_group_name_Hall 'R 3 2"'
loop_
_atom_site_label
_atom_site_fract_x
_atom_site_fract_y
_atom_site_fract_z
Tb1 0.0000 0.0000 0.0000
Tb2 0.0000 0.0000 0.2469
Pr1 0.0000 0.0000 0.5000
Er1 0.0000 0.3317 0.5000
Er2 0.0000 0.6715 0.0000
# V ... 964.72 Å³/cell
# M_tot ... 0.00 Bohr magnetons per cell

---

Of them, w has the highest stability.